(1)
Al4C23 after structural relaxation. Source: Alexandria via LeMat-Bulk, functional PBE-GGA.

Values from the calculation:
Final energy, eV/f.u.: -199.9
Spin magnetization, μB/f.u.: 0.0
Calculated formation energy, eV per atom: 1.0100
Crystal system: cubic

a = 7.319 Å, b = 7.319 Å, c = 7.319 Å
α = 90.00°, β = 90.00°, γ = 90.00°
Sites, in units of the cell vectors:
Al: 0.000 0.000 0.000
Al: 0.000 0.250 0.500
Al: 0.000 0.750 0.500
Al: 0.250 0.500 0.000
Al: 0.500 0.000 0.250
Al: 0.500 0.000 0.750
Al: 0.500 0.500 0.500
Al: 0.750 0.500 0.000
C: 0.000 0.274 0.216
C: 0.000 0.274 0.784
C: 0.000 0.500 0.250
C: 0.000 0.500 0.750
C: 0.000 0.726 0.216
C: 0.000 0.726 0.784
C: 0.185 0.185 0.185
C: 0.185 0.185 0.815
C: 0.185 0.815 0.185
C: 0.185 0.815 0.815
C: 0.216 0.000 0.274
C: 0.216 0.000 0.726
C: 0.226 0.500 0.284
C: 0.226 0.500 0.716
C: 0.250 0.000 0.500
C: 0.274 0.216 0.000
C: 0.274 0.784 0.000
C: 0.284 0.226 0.500
C: 0.284 0.774 0.500
C: 0.315 0.315 0.315
C: 0.315 0.315 0.685
C: 0.315 0.685 0.315
C: 0.315 0.685 0.685
C: 0.500 0.250 0.000
C: 0.500 0.284 0.226
C: 0.500 0.284 0.774
C: 0.500 0.716 0.226
C: 0.500 0.716 0.774
C: 0.500 0.750 0.000
C: 0.685 0.315 0.315
C: 0.685 0.315 0.685
C: 0.685 0.685 0.315
C: 0.685 0.685 0.685
C: 0.716 0.226 0.500
C: 0.716 0.774 0.500
C: 0.726 0.216 0.000
C: 0.726 0.784 0.000
C: 0.750 0.000 0.500
C: 0.774 0.500 0.284
C: 0.774 0.500 0.716
C: 0.784 0.000 0.274
C: 0.784 0.000 0.726
C: 0.815 0.185 0.185
C: 0.815 0.185 0.815
C: 0.815 0.815 0.185
C: 0.815 0.815 0.815

(2)
HfTlAu after structural relaxation. Source: Alexandria via LeMat-Bulk, functional PBE-GGA.

Values from the calculation:
Final energy, eV/f.u.: -15.9
Spin magnetization, μB/f.u.: 0.0
Calculated formation energy, eV per atom: -0.1044
Crystal system: monoclinic

a = 6.424 Å, b = 6.424 Å, c = 3.315 Å
α = 104.46°, β = 104.46°, γ = 29.34°
Sites, in units of the cell vectors:
Hf: 0.000 0.000 0.000
Tl: 0.682 0.682 0.684
Au: 0.361 0.361 0.367

(3)
Ba2Ga2Si after structural relaxation. Source: Alexandria via LeMat-Bulk, functional PBE-GGA.

Values from the calculation:
E_form (uncorrected), eV per atom: -0.31
Final energy, eV/f.u.: -16.9
Spin magnetization, μB/f.u.: 0.0
Crystal system: orthorhombic

a = 4.988 Å, b = 7.404 Å, c = 7.404 Å
α = 33.08°, β = 90.00°, γ = 90.00°
Sites, in units of the cell vectors:
Ba: 0.000 0.000 0.000
Ba: 0.000 0.246 0.246
Ga: 0.500 0.418 0.418
Ga: 0.500 0.626 0.626
Si: 0.500 0.821 0.821

(4)
AlCrIr after structural relaxation. Source: Alexandria via LeMat-Bulk, functional PBE-GGA.

Values from the calculation:
Final energy, eV/f.u.: -23.0
Spin magnetization, μB/f.u.: 0.2
Calculated formation energy, eV per atom: -0.2482
Crystal system: hexagonal

a = 2.742 Å, b = 2.742 Å, c = 12.550 Å
α = 90.00°, β = 90.00°, γ = 120.00°
Sites, in units of the cell vectors:
Al: 0.000 0.000 0.165
Al: 0.000 0.000 0.835
Cr: 0.000 0.000 0.500
Cr: 0.667 0.333 0.000
Ir: 0.667 0.333 0.337
Ir: 0.667 0.333 0.663

(5)
As2S after structural relaxation. Source: Alexandria via LeMat-Bulk, functional PBE-GGA.

Values from the calculation:
E_form (uncorrected), eV per atom: 0.07
Final energy, eV/f.u.: -13.2
Spin magnetization, μB/f.u.: 0.0
Crystal system: tetragonal

a = 5.550 Å, b = 5.550 Å, c = 5.550 Å
α = 101.59°, β = 101.59°, γ = 126.75°
Sites, in units of the cell vectors:
As: 0.000 0.000 0.000
As: 0.000 0.000 0.500
As: 0.000 0.500 0.000
As: 0.500 0.000 0.500
S: 0.375 0.625 0.750
S: 0.625 0.375 0.250

(6)
CrHgSe2Br after structural relaxation. Source: Alexandria via LeMat-Bulk, functional PBE-GGA.

Values from the calculation:
E_form (uncorrected), eV per atom: 0.01
Final energy, eV/f.u.: -18.5
Spin magnetization, μB/f.u.: 1.8
Crystal system: tetragonal

a = 4.841 Å, b = 4.841 Å, c = 5.297 Å
α = 90.00°, β = 90.00°, γ = 90.00°
Sites, in units of the cell vectors:
Cr: 0.000 0.000 0.000
Hg: 0.500 0.500 0.500
Se: 0.000 0.500 0.000
Se: 0.500 0.000 0.000
Br: 0.000 0.000 0.500

(7)
Sr3Zn2Ga9 after structural relaxation. Source: Alexandria via LeMat-Bulk, functional PBE-GGA.

Values from the calculation:
Final energy, eV/f.u.: -39.9
Spin magnetization, μB/f.u.: 0.0
Calculated formation energy, eV per atom: -0.3585
Crystal system: orthorhombic

a = 8.610 Å, b = 8.610 Å, c = 8.610 Å
α = 149.80°, β = 107.77°, γ = 80.24°
Sites, in units of the cell vectors:
Sr: 0.000 0.000 0.000
Sr: 0.312 0.312 0.000
Sr: 0.688 0.688 0.000
Zn: 0.293 0.500 0.793
Zn: 0.707 0.500 0.207
Ga: 0.028 0.661 0.368
Ga: 0.130 0.856 0.273
Ga: 0.293 0.661 0.632
Ga: 0.417 0.144 0.273
Ga: 0.500 0.000 0.500
Ga: 0.583 0.856 0.727
Ga: 0.707 0.339 0.368
Ga: 0.870 0.144 0.727
Ga: 0.972 0.339 0.632

(8)
NaNd2Ho after structural relaxation. Source: Alexandria via LeMat-Bulk, functional PBE-GGA.

Values from the calculation:
Final energy, eV/f.u.: -15.0
Spin magnetization, μB/f.u.: 0.0
Calculated formation energy, eV per atom: 0.0972
Crystal system: tetragonal

a = 3.545 Å, b = 3.545 Å, c = 10.961 Å
α = 90.00°, β = 90.00°, γ = 90.00°
Sites, in units of the cell vectors:
Na: 0.000 0.000 0.000
Nd: 0.500 0.500 0.268
Nd: 0.500 0.500 0.732
Ho: 0.000 0.000 0.500

(9)
Y2BrCl after structural relaxation. Source: Alexandria via LeMat-Bulk, functional PBE-GGA.

Values from the calculation:
E_form (uncorrected), eV per atom: -0.83
Final energy, eV/f.u.: -19.8
Spin magnetization, μB/f.u.: 0.0
Crystal system: tetragonal

a = 7.331 Å, b = 7.331 Å, c = 7.331 Å
α = 148.32°, β = 148.32°, γ = 45.42°
Sites, in units of the cell vectors:
Y: 0.000 0.000 0.000
Y: 0.750 0.250 0.500
Br: 0.250 0.750 0.500
Cl: 0.500 0.500 0.000

(10)
InReSi2 after structural relaxation. Source: Alexandria via LeMat-Bulk, functional PBE-GGA.

Values from the calculation:
E_form (uncorrected), eV per atom: 0.28
Final energy, eV/f.u.: -24.9
Spin magnetization, μB/f.u.: 0.0
Crystal system: tetragonal

a = 3.179 Å, b = 3.179 Å, c = 6.747 Å
α = 90.00°, β = 90.00°, γ = 90.00°
Sites, in units of the cell vectors:
In: 0.000 0.000 0.000
Re: 0.500 0.500 0.302
Si: 0.000 0.000 0.455
Si: 0.500 0.500 0.669

(11)
PPt3 after structural relaxation. Source: Alexandria via LeMat-Bulk, functional PBE-GGA.

Values from the calculation:
Final energy, eV/f.u.: -23.3
Spin magnetization, μB/f.u.: 0.0
Calculated formation energy, eV per atom: 0.0558
Crystal system: orthorhombic

a = 4.434 Å, b = 4.434 Å, c = 3.276 Å
α = 90.00°, β = 90.00°, γ = 105.97°
Sites, in units of the cell vectors:
P: 0.000 0.000 0.000
Pt: 0.000 0.500 0.500
Pt: 0.500 0.000 0.500
Pt: 0.500 0.500 0.000

(12)
RbGe3N after structural relaxation. Source: Alexandria via LeMat-Bulk, functional PBE-GGA.

Values from the calculation:
E_form (uncorrected), eV per atom: 2.92
Final energy, eV/f.u.: -8.6
Spin magnetization, μB/f.u.: 0.5
Crystal system: cubic

a = 5.696 Å, b = 5.696 Å, c = 5.696 Å
α = 90.00°, β = 90.00°, γ = 90.00°
Sites, in units of the cell vectors:
Rb: 0.000 0.000 0.000
Ge: 0.000 0.000 0.500
Ge: 0.000 0.500 0.000
Ge: 0.500 0.000 0.000
N: 0.500 0.500 0.500